Entry 1:
Computed, not measured: a relaxed structure of NdSiPt4 at the PBE level of DFT.

Cell: 3.9938 6.7976 8.0414 Å, 90.00 104.38 90.00°
Closest atoms and distances in Å follow each position.
Atoms (fractional coordinates):
1 Nd 0.1029 0.2500 0.2059  9 Pt 2.91-3.11, 2 Si 3.20
2 Nd 0.8971 0.7500 0.7941  9 Pt 2.91-3.11, 2 Si 3.20
3 Si 0.2366 0.7500 0.4732  7 Pt 2.36-2.56
4 Si 0.7634 0.2500 0.5268  7 Pt 2.36-2.56
5 Pt 0.5000 0.5000 0.0000  6 Pt 2.89-2.93, 4 Nd 3.07
6 Pt 0.5000 0.0000 0.0000  6 Pt 2.89-2.93, 4 Nd 3.07
7 Pt 0.6845 0.9535 0.3689  3 Si 2.36-2.56
8 Pt 0.3155 0.0465 0.6311  3 Si 2.36-2.56
9 Pt 0.3155 0.4535 0.6311  3 Si 2.36-2.56
10 Pt 0.6845 0.5465 0.3689  3 Si 2.36-2.56
11 Pt 0.0841 0.7500 0.1682  1 Si 2.38
12 Pt 0.9159 0.2500 0.8318  1 Si 2.38

Output
- Excess energy over the best structure of this formula in the dataset: 0 meV per atom
- E_form (uncorrected): -900 meV/atom

Entry 2:
Computed, not measured: a relaxed structure of Nd3Si3Pt2 at the PBE level of DFT.

Cell: 4.2560 5.8758 15.3055 Å, 90.00 90.00 111.23°
Closest atoms and distances in Å follow each position.
Atoms (fractional coordinates):
1 Nd 0.8599 0.7197 0.4054  7 Si 3.12-3.31, 4 Pt 3.16-3.23
2 Nd 0.1401 0.2803 0.9054  7 Si 3.12-3.31, 4 Pt 3.16-3.23
3 Nd 0.8599 0.7197 0.0946  7 Si 3.12-3.31, 4 Pt 3.16-3.23
4 Nd 0.1401 0.2803 0.5946  7 Si 3.12-3.31, 4 Pt 3.16-3.23
5 Nd 0.5746 0.1491 0.2500  4 Pt 3.05, 5 Si 3.06-3.17
6 Nd 0.4254 0.8509 0.7500  4 Pt 3.05, 5 Si 3.06-3.17
7 Si 0.5823 0.1647 0.4499  1 Si 2.37, 2 Pt 2.46
8 Si 0.4177 0.8353 0.9499  1 Si 2.37, 2 Pt 2.46
9 Si 0.5823 0.1647 0.0501  1 Si 2.37, 2 Pt 2.46
10 Si 0.4177 0.8353 0.5501  1 Si 2.37, 2 Pt 2.46
11 Si 0.2856 0.5711 0.2500  2 Pt 2.54
12 Si 0.7144 0.4289 0.7500  2 Pt 2.54
13 Pt 0.8532 0.7064 0.8834  3 Si 2.46-2.54
14 Pt 0.1468 0.2936 0.3834  3 Si 2.46-2.54
15 Pt 0.8532 0.7064 0.6166  3 Si 2.46-2.54
16 Pt 0.1468 0.2936 0.1166  3 Si 2.46-2.54

Output
- E_form (uncorrected): -1020 meV/atom

Q: Which of these has the lowest E_form (uncorrected)?
A: Nd3Si3Pt2

Please write out number 2 again, unchanged.
Computed, not measured: a relaxed structure of Nd3Si3Pt2 at the PBE level of DFT.

Cell: 4.2560 5.8758 15.3055 Å, 90.00 90.00 111.23°
Closest atoms and distances in Å follow each position.
Atoms (fractional coordinates):
1 Nd 0.8599 0.7197 0.4054  7 Si 3.12-3.31, 4 Pt 3.16-3.23
2 Nd 0.1401 0.2803 0.9054  7 Si 3.12-3.31, 4 Pt 3.16-3.23
3 Nd 0.8599 0.7197 0.0946  7 Si 3.12-3.31, 4 Pt 3.16-3.23
4 Nd 0.1401 0.2803 0.5946  7 Si 3.12-3.31, 4 Pt 3.16-3.23
5 Nd 0.5746 0.1491 0.2500  4 Pt 3.05, 5 Si 3.06-3.17
6 Nd 0.4254 0.8509 0.7500  4 Pt 3.05, 5 Si 3.06-3.17
7 Si 0.5823 0.1647 0.4499  1 Si 2.37, 2 Pt 2.46
8 Si 0.4177 0.8353 0.9499  1 Si 2.37, 2 Pt 2.46
9 Si 0.5823 0.1647 0.0501  1 Si 2.37, 2 Pt 2.46
10 Si 0.4177 0.8353 0.5501  1 Si 2.37, 2 Pt 2.46
11 Si 0.2856 0.5711 0.2500  2 Pt 2.54
12 Si 0.7144 0.4289 0.7500  2 Pt 2.54
13 Pt 0.8532 0.7064 0.8834  3 Si 2.46-2.54
14 Pt 0.1468 0.2936 0.3834  3 Si 2.46-2.54
15 Pt 0.8532 0.7064 0.6166  3 Si 2.46-2.54
16 Pt 0.1468 0.2936 0.1166  3 Si 2.46-2.54

Output
- E_form (uncorrected): -1020 meV/atom

Repeat the first record exactly.
Computed, not measured: a relaxed structure of NdSiPt4 at the PBE level of DFT.

Cell: 3.9938 6.7976 8.0414 Å, 90.00 104.38 90.00°
Closest atoms and distances in Å follow each position.
Atoms (fractional coordinates):
1 Nd 0.1029 0.2500 0.2059  9 Pt 2.91-3.11, 2 Si 3.20
2 Nd 0.8971 0.7500 0.7941  9 Pt 2.91-3.11, 2 Si 3.20
3 Si 0.2366 0.7500 0.4732  7 Pt 2.36-2.56
4 Si 0.7634 0.2500 0.5268  7 Pt 2.36-2.56
5 Pt 0.5000 0.5000 0.0000  6 Pt 2.89-2.93, 4 Nd 3.07
6 Pt 0.5000 0.0000 0.0000  6 Pt 2.89-2.93, 4 Nd 3.07
7 Pt 0.6845 0.9535 0.3689  3 Si 2.36-2.56
8 Pt 0.3155 0.0465 0.6311  3 Si 2.36-2.56
9 Pt 0.3155 0.4535 0.6311  3 Si 2.36-2.56
10 Pt 0.6845 0.5465 0.3689  3 Si 2.36-2.56
11 Pt 0.0841 0.7500 0.1682  1 Si 2.38
12 Pt 0.9159 0.2500 0.8318  1 Si 2.38

Output
- Excess energy over the best structure of this formula in the dataset: 0 meV per atom
- E_form (uncorrected): -900 meV/atom